# 1
## ZrCr4Ir (PBE)

Data for a relaxed ZrCr4Ir crystal.

Lattice parameters (Å, degrees): 6.913 6.913 6.913 90.00 90.00 90.00
Space group F-43m (No. 216)
Symmetry-distinct sites (fractional):
Zr (0.000, 0.000, 0.000)
Cr (0.127, 0.127, 0.373)
Ir (0.250, 0.250, 0.750)

Output
The calculation puts the energy of formation at -0.047 eV per atom.

# 2
## Zr2Cr2Ir (PBE)

Data for a relaxed Zr2Cr2Ir crystal.

Lattice parameters (Å, degrees): 6.328 6.328 4.246 90.00 90.00 90.00
Space group P4/mbm (No. 127)
Symmetry-distinct sites (fractional):
Zr (0.182, 0.318, 0.000)
Cr (0.115, 0.615, 0.500)
Ir (0.000, 0.000, 0.500)

Output
The calculation puts the energy of formation at -0.105 eV per atom.

# 3
## ZrCr2Ir (PBE)

Data for a relaxed ZrCr2Ir crystal.

Lattice parameters (Å, degrees): 2.987 2.987 6.712 90.00 90.00 90.00
Space group P4mm (No. 99)
Symmetry-distinct sites (fractional):
Zr (0.000, 0.000, 0.000)
Cr (0.000, 0.000, 0.466)
Cr (0.500, 0.500, 0.284)
Ir (0.500, 0.500, 0.706)

Output
The calculation puts the energy of formation at -0.096 eV per atom.

# 4
## Zr2CrIr (PBE)

Data for a relaxed Zr2CrIr crystal.

Lattice parameters (Å, degrees): 2.911 2.911 8.434 90.00 90.00 90.00
Space group P4mm (No. 99)
Symmetry-distinct sites (fractional):
Zr (0.000, 0.000, 0.000)
Zr (0.500, 0.500, 0.331)
Cr (0.000, 0.000, 0.571)
Ir (0.500, 0.500, 0.746)

Output
The calculation puts the energy of formation at -0.092 eV per atom.

# 5
## ZrCr2Ir (PBE)

Data for a relaxed ZrCr2Ir crystal.

Lattice parameters (Å, degrees): 2.735 2.735 8.077 90.00 90.00 90.00
Space group P4/mmm (No. 123)
Symmetry-distinct sites (fractional):
Zr (0.000, 0.000, 0.000)
Cr (0.500, 0.500, 0.281)
Ir (0.000, 0.000, 0.500)

Output
The calculation puts the energy of formation at 0.167 eV per atom.

# 6
## ZrCr2Ir (PBE)

Data for a relaxed ZrCr2Ir crystal.

Lattice parameters (Å, degrees): 2.724 3.806 5.904 90.00 90.00 90.00
Space group Pmmm (No. 47)
Symmetry-distinct sites (fractional):
Zr (0.000, 0.000, 0.000)
Cr (0.500, 0.500, 0.300)
Ir (0.000, 0.000, 0.500)

Output
The calculation puts the energy of formation at 0.151 eV per atom.

# 7
## ZrCr2Ir (PBE)

Data for a relaxed ZrCr2Ir crystal.

Lattice parameters (Å, degrees): 5.333 8.609 2.760 90.00 110.12 90.00
Space group C2/m (No. 12)
Symmetry-distinct sites (fractional):
Zr (0.000, 0.000, 0.000)
Cr (0.250, 0.250, 0.500)
Ir (0.000, 0.500, 0.000)

Output
The calculation puts the energy of formation at 0.103 eV per atom.

# 8
## ZrCr2Ir (PBE)

Data for a relaxed ZrCr2Ir crystal.

Lattice parameters (Å, degrees): 3.271 4.239 8.704 90.00 90.00 90.00
Space group Immm (No. 71)
Symmetry-distinct sites (fractional):
Zr (0.000, 0.000, 0.000)
Cr (0.000, 0.500, 0.251)
Ir (0.000, 0.000, 0.500)

Output
The calculation puts the energy of formation at 0.041 eV per atom.

# 9
## ZrCr2Ir (PBE)

Data for a relaxed ZrCr2Ir crystal.

Lattice parameters (Å, degrees): 2.8886 2.8886 25.1514 90.00 90.00 120.00
Space group R3m (No. 160, hexagonal axes)
Symmetry-distinct sites (fractional):
Zr (0.0000, 0.0000, 0.0000)
Cr (0.0000, 0.0000, 0.4911)
Cr (0.0000, 0.0000, 0.7612)
Ir (0.0000, 0.0000, 0.2384)

Output
The calculation puts the energy of formation at 0.199 eV per atom.

# 10
## Zr2CrIr (PBE)

Data for a relaxed Zr2CrIr crystal.

Lattice parameters (Å, degrees): 6.464 6.464 6.464 90.00 90.00 90.00
Space group F-43m (No. 216)
Symmetry-distinct sites (fractional):
Zr (0.000, 0.000, 0.000)
Zr (0.250, 0.250, 0.250)
Cr (0.000, 0.000, 0.500)
Ir (0.250, 0.250, 0.750)

Output
The calculation puts the energy of formation at -0.126 eV per atom.

# 11
## Zr2CrIr (PBE)

Data for a relaxed Zr2CrIr crystal.

Lattice parameters (Å, degrees): 3.283 3.283 6.774 90.00 90.00 90.00
Space group P4mm (No. 99)
Symmetry-distinct sites (fractional):
Zr (0.000, 0.000, 0.000)
Zr (0.500, 0.500, 0.307)
Cr (0.000, 0.000, 0.547)
Ir (0.500, 0.500, 0.777)

Output
The calculation puts the energy of formation at -0.061 eV per atom.

# 12
## ZrCr2Ir (PBE)

Data for a relaxed ZrCr2Ir crystal.

Lattice parameters (Å, degrees): 9.608 2.942 4.696 90.00 107.44 90.00
Space group C2/m (No. 12)
Symmetry-distinct sites (fractional):
Zr (0.000, 0.000, 0.000)
Cr (0.236, 0.000, 0.668)
Ir (0.000, 0.500, 0.500)

Output
The calculation puts the energy of formation at 0.018 eV per atom.

# 13
## ZrCr2Ir (PBE)

Data for a relaxed ZrCr2Ir crystal.

Lattice parameters (Å, degrees): 2.7479 2.7479 27.7920 90.00 90.00 120.00
Space group R-3m (No. 166, hexagonal axes)
Symmetry-distinct sites (fractional):
Zr (0.0000, 0.0000, 0.0000)
Cr (0.0000, 0.0000, 0.2414)
Ir (0.0000, 0.0000, 0.5000)

Output
The calculation puts the energy of formation at 0.353 eV per atom.

# 14
## KCr (PBE)

Data for a relaxed KCr crystal.

Lattice parameters (Å, degrees): 7.656 4.419 14.080 90.00 90.08 90.00
Space group Cm (No. 8)
Symmetry-distinct sites (fractional):
K (0.000, 0.000, 0.000)
K (0.165, 0.500, 0.572)
K (0.334, 0.000, 0.286)
Cr (0.166, 0.500, 0.810)
Cr (0.333, 0.000, 0.786)
Cr (0.499, 0.500, 0.762)

Output
The calculation puts the energy of formation at 0.674 eV per atom.

# 15
## KCr2 (PBE)

Data for a relaxed KCr2 crystal.

Lattice parameters (Å, degrees): 3.172 3.172 12.797 90.00 90.00 90.00
Space group I4/mmm (No. 139)
Symmetry-distinct sites (fractional):
K (0.000, 0.000, 0.000)
Cr (0.000, 0.000, 0.255)

Output
The calculation puts the energy of formation at 1.123 eV per atom.

# 16
## K2Cr (PBE)

Data for a relaxed K2Cr crystal.

Lattice parameters (Å, degrees): 4.3641 4.3641 9.2239 90.00 90.00 120.00
Space group P-3m1 (No. 164)
Symmetry-distinct sites (fractional):
K (0.3333, 0.6667, 0.2788)
Cr (0.0000, 0.0000, 0.0000)

Output
The calculation puts the energy of formation at 0.919 eV per atom.

# 17
## KCr (PBE)

Data for a relaxed KCr crystal.

Lattice parameters (Å, degrees): 3.6947 3.6947 36.6869 90.00 90.00 120.00
Space group R-3m (No. 166, hexagonal axes)
Symmetry-distinct sites (fractional):
K (0.0000, 0.0000, 0.1098)
Cr (0.0000, 0.0000, 0.3624)

Output
The calculation puts the energy of formation at 1.254 eV per atom.

# 18
## KCr (PBE)

Data for a relaxed KCr crystal.

Lattice parameters (Å, degrees): 14.4218 14.4218 2.9181 90.00 90.00 120.00
Space group P6_3/m (No. 176)
Symmetry-distinct sites (fractional):
K (0.1924, 0.4408, 0.2500)
Cr (0.0377, 0.5559, 0.2500)

Output
The calculation puts the energy of formation at 1.254 eV per atom.

# 19
## K3Cr (PBE)

Data for a relaxed K3Cr crystal.

Lattice parameters (Å, degrees): 5.872 5.872 5.872 90.00 90.00 90.00
Space group Pm-3m (No. 221)
Symmetry-distinct sites (fractional):
K (0.000, 0.000, 0.500)
Cr (0.500, 0.500, 0.500)

Output
The calculation puts the energy of formation at 0.660 eV per atom.

# 20
## KCr (PBE)

Data for a relaxed KCr crystal.

Lattice parameters (Å, degrees): 4.748 5.980 10.793 90.00 90.00 90.00
Space group Imma (No. 74)
Symmetry-distinct sites (fractional):
K (0.000, 0.250, 0.104)
Cr (0.000, 0.250, 0.672)

Output
The calculation puts the energy of formation at 1.184 eV per atom.